Here is Dy4GaSi4Ni2 after structural relaxation from the Open Quantum Materials Database. Energies are from GGA-PBE.

M_tot: 0.01 Bohr magnetons per cell
crystal system: monoclinic
final energy: -5.73 eV/atom

abc: 7.850 7.850 6.846
angles: 107.50 107.50 30.83
Element x y z (fractional)
Dy (0.088, 0.088, 0.382)
Dy (0.152, 0.152, 0.941)
Dy (0.848, 0.848, 0.059)
Dy (0.912, 0.912, 0.618)
Ga (0.500, 0.500, 0.000)
Si (0.291, 0.291, 0.716)
Si (0.437, 0.437, 0.341)
Si (0.563, 0.563, 0.659)
Si (0.709, 0.709, 0.284)
Ni (0.286, 0.286, 0.354)
Ni (0.714, 0.714, 0.646)

Here is Au2SeO after structural relaxation from the Open Quantum Materials Database. Energies are from GGA-PBE.

crystal system: monoclinic
polymorph energy (0 for the lowest one): 0 meV/atom

abc: 4.452 4.452 6.204
angles: 103.07 103.07 44.81
Element x y z (fractional)
Au (0.000, 0.000, 0.000)
Au (0.501, 0.501, 0.458)
Se (0.351, 0.351, 0.743)
O (0.614, 0.614, 0.196)

Here is NaTmFeTe3 after structural relaxation from the Open Quantum Materials Database. Energies are from GGA-PBE.

M_tot: 7.29 Bohr magnetons per cell
crystal system: monoclinic
polymorph energy (0 for the lowest one): 0 meV/atom

abc: 8.768 4.180 10.139
angles: 90.00 105.31 90.00
Element x y z (fractional)
Na (0.212, 0.250, 0.265)
Na (0.788, 0.750, 0.735)
Tm (0.327, 0.750, 0.851)
Tm (0.673, 0.250, 0.149)
Fe (0.065, 0.250, 0.579)
Fe (0.935, 0.750, 0.421)
Te (0.077, 0.250, 0.842)
Te (0.241, 0.750, 0.534)
Te (0.428, 0.750, 0.160)
Te (0.572, 0.250, 0.840)
Te (0.759, 0.250, 0.466)
Te (0.923, 0.750, 0.158)

Here is KLuCdS3 after structural relaxation from the Open Quantum Materials Database. Energies are from GGA-PBE.

M_tot: 0.00 Bohr magnetons per cell
crystal system: monoclinic
polymorph energy (0 for the lowest one): 15 meV/atom

abc: 8.704 8.704 8.911
angles: 103.05 103.05 26.38
Element x y z (fractional)
K (0.145, 0.145, 0.065)
K (0.855, 0.855, 0.935)
Lu (0.172, 0.172, 0.584)
Lu (0.828, 0.828, 0.416)
Cd (0.494, 0.494, 0.279)
Cd (0.506, 0.506, 0.721)
S (0.000, 0.000, 0.500)
S (0.333, 0.333, 0.626)
S (0.334, 0.334, 0.221)
S (0.500, 0.500, 0.000)
S (0.666, 0.666, 0.779)
S (0.667, 0.667, 0.374)

Here is PmErTl after structural relaxation from the Open Quantum Materials Database. Energies are from GGA-PBE.

M_tot: 0.20 Bohr magnetons per cell
crystal system: cubic
final energy: -3.93 eV/atom

abc: 5.205 5.205 5.205
angles: 60.00 60.00 60.00
Element x y z (fractional)
Pm (0.000, 0.000, 0.000)
Er (0.500, 0.500, 0.500)
Tl (0.750, 0.750, 0.750)

Here is Lu2Sc4Pb3N3 after structural relaxation from the Open Quantum Materials Database. Energies are from GGA-PBE.

M_tot: 0.01 Bohr magnetons per cell
crystal system: monoclinic
final energy: -7.03 eV/atom

abc: 5.852 5.852 15.195
angles: 101.09 101.09 59.99
Element x y z (fractional)
Lu (0.028, 0.861, 0.584)
Lu (0.139, 0.972, 0.916)
Lu (0.861, 0.028, 0.084)
Lu (0.972, 0.139, 0.416)
Sc (0.193, 0.360, 0.079)
Sc (0.307, 0.473, 0.421)
Sc (0.360, 0.193, 0.579)
Sc (0.473, 0.307, 0.921)
Sc (0.527, 0.693, 0.079)
Sc (0.640, 0.807, 0.421)
Sc (0.693, 0.527, 0.579)
Sc (0.807, 0.640, 0.921)
Pb (0.084, 0.262, 0.750)
Pb (0.262, 0.084, 0.250)
Pb (0.429, 0.571, 0.750)
Pb (0.571, 0.429, 0.250)
Pb (0.738, 0.916, 0.750)
Pb (0.916, 0.738, 0.250)
N (0.000, 0.500, 0.500)
N (0.168, 0.664, 0.000)
N (0.336, 0.832, 0.500)
N (0.500, 0.000, 0.000)
N (0.664, 0.168, 0.500)
N (0.832, 0.336, 0.000)